Here is a relaxed structure of YMnCoPb2 from the Alexandria database. Energies are from PBEsol.

Output
Formation energy from the elements (meV/atom): 1699
Calculated total energy (eV per atom): -4.764
Crystal system: tetragonal

a b c (Å): 4.6763 5.6797 5.6797
angles (deg): 90.00 90.00 90.00
Closest atoms and distances in Å follow each position.
Sites, in units of the cell vectors:
1 Mn 0.5000 0.0000 0.0000  2 Y 2.34
2 Pb 0.0000 0.0000 0.5000  2 Y 2.84
3 Pb 0.0000 0.5000 0.0000  2 Y 2.84
4 Co 0.5000 0.5000 0.5000  8 Pb 3.68, 4 Mn 4.02
5 Y 0.0000 0.0000 0.0000  2 Mn 2.34

***

Here is a relaxed structure of BTeI2O from the Alexandria database. Energies are from PBEsol.

Output
Energy relative to the lowest polymorph listed for this composition (kJ/mol of atoms): 0.0
Calculated total energy (eV per atom): -3.075
Raw formation energy (meV per atom): 789.7
Crystal system: tetragonal

a b c (Å): 4.0116 5.9523 5.9523
angles (deg): 90.00 90.00 90.00
Closest atoms and distances in Å follow each position.
Sites, in units of the cell vectors:
1 B 0.5000 0.5000 0.5000  8 I 3.59, 2 B 4.01
2 I 0.0000 0.0000 0.5000  2 Te 2.98
3 I 0.0000 0.5000 0.0000  2 Te 2.98
4 Te 0.0000 0.0000 0.0000  2 O 2.01
5 O 0.5000 0.0000 0.0000  2 Te 2.01

***

Here is a relaxed structure of CdRh3 from the Alexandria database. Energies are from PBEsol.

Output
Formation energy from the elements (meV/atom): 47
Calculated total energy (eV per atom): -6.356
Crystal system: monoclinic

a b c (Å): 2.7466 4.7260 4.7843
angles (deg): 99.81 90.00 106.89
Closest atoms and distances in Å follow each position.
Sites, in units of the cell vectors:
1 Rh 0.7574 0.5149 0.2682  9 Rh 2.63-2.89, 3 Cd 2.73-2.81
2 Rh 0.5000 0.0000 0.5000  8 Rh 2.66-2.75, 4 Cd 2.76
3 Rh 0.2426 0.4851 0.7318  9 Rh 2.63-2.89, 3 Cd 2.73-2.81
4 Cd 0.0000 0.0000 0.0000  10 Rh 2.73-2.81, 2 Cd 2.75